! BaSr2Co (PBE-GGA, optimized geometry); values from VASP
! - distance to the lowest polymorph of the same formula (eV per atom) = 0.388
! - DOS at the Fermi energy (states/eV/cell) = 11.37
! - space-group type = No. 12
! - formation enthalpy at 0 K (eV per atom) = 0.697
! - ρ (g/cm³) = 3.71
&SYSTEM
  ibrav = 0, nat = 8, ntyp = 3
/
ATOMIC_SPECIES
Ba 137.33 Ba.upf
Sr 87.62 Sr.upf
Co 58.93 Co.upf
ATOMIC_POSITIONS crystal
Ba 0.000 0.000 0.000
Ba 0.500 0.500 0.000
Sr 0.250 0.250 0.500
Sr 0.250 0.750 0.500
Sr 0.750 0.250 0.500
Sr 0.750 0.750 0.500
Co 0.000 0.500 0.000
Co 0.500 0.000 0.000
CELL_PARAMETERS angstrom
7.371 0.000 0.000
0.000 12.560 0.000
-1.896 0.000 3.590

---

! BaSr2Co (PBE-GGA, optimized geometry); values from VASP
! - distance to the lowest polymorph of the same formula (eV per atom) = 0.328
! - DOS at the Fermi energy (states/eV/cell) = 48.96
! - space-group type = No. 216
! - formation enthalpy at 0 K (eV per atom) = 0.637
! - ρ (g/cm³) = 4.04
&SYSTEM
  ibrav = 0, nat = 16, ntyp = 3
/
ATOMIC_SPECIES
Ba 137.33 Ba.upf
Sr 87.62 Sr.upf
Co 58.93 Co.upf
ATOMIC_POSITIONS crystal
Ba 0.000 0.000 0.000
Ba 0.000 0.500 0.500
Ba 0.500 0.000 0.500
Ba 0.500 0.500 0.000
Sr 0.000 0.000 0.500
Sr 0.000 0.500 0.000
Sr 0.250 0.250 0.750
Sr 0.250 0.750 0.250
Sr 0.500 0.000 0.000
Sr 0.500 0.500 0.500
Sr 0.750 0.250 0.250
Sr 0.750 0.750 0.750
Co 0.250 0.250 0.250
Co 0.250 0.750 0.750
Co 0.750 0.250 0.750
Co 0.750 0.750 0.250
CELL_PARAMETERS angstrom
8.484 0.000 0.000
0.000 8.484 0.000
0.000 0.000 8.484

---

Number 1: VASP energy -19.21 eV per cell. Number 2: VASP energy -39.38 eV per cell.